1.
Material: PaSiP
Method: DFT, PBE
State: optimized geometry

Cell: 11.3730 9.1407 7.8053 Å, 83.91 53.05 43.03°
Positions (direct):
1 Pa 0.0113 0.3241 0.6759
2 Pa 0.3241 0.0113 0.9887
3 Pa 0.6759 0.9887 0.0113
4 Pa 0.9887 0.6759 0.3241
5 Si 0.0712 0.0712 0.9288
6 Si 0.1360 0.8640 0.1360
7 Si 0.8640 0.1360 0.8640
8 Si 0.9288 0.9288 0.0712
9 P 0.1702 0.4815 0.5185
10 P 0.4815 0.1702 0.8298
11 P 0.5185 0.8298 0.1702
12 P 0.8298 0.5185 0.4815

Properties
For the total energy, the calculation gives -6.936 eV per atom. The calculation puts the total magnetic moment at 0.00 μB per formula unit. As for the energy above the lowest structure with this stoichiometry: 0.4927 eV per atom. The value obtained for the uncorrected formation energy is -0.160 eV/atom.


2.
Material: PaSi2Tc2P
Method: DFT, PBE
State: optimized geometry

Cell: 4.4005 4.4005 5.3364 Å, 90.00 90.00 90.00°
Positions (direct):
1 Pa 0.0000 0.0000 0.0000
2 Si 0.5000 0.5000 0.2196
3 Si 0.5000 0.5000 0.7804
4 Tc 0.0000 0.5000 0.5000
5 Tc 0.5000 0.0000 0.5000
6 P 0.0000 0.0000 0.5000

Properties
For the total energy, the calculation gives -8.096 eV per atom. The calculation puts the total magnetic moment at 0.01 μB per formula unit. The value obtained for the uncorrected formation energy is -0.349 eV/atom.


3.
Material: SmPaP
Method: DFT, PBE
State: optimized geometry

Cell: 5.5971 3.9653 7.4332 Å, 90.00 110.90 90.00°
Positions (direct):
1 Sm 0.2290 0.2500 0.4312
2 Sm 0.7710 0.7500 0.5688
3 Pa 0.2503 0.2500 0.9104
4 Pa 0.7497 0.7500 0.0896
5 P 0.2903 0.7500 0.1816
6 P 0.7097 0.2500 0.8184

Properties
For the total energy, the calculation gives -7.158 eV per atom. The calculation puts the total magnetic moment at 0.00 μB per formula unit. As for the energy above the lowest structure with this stoichiometry: 0.0000 eV per atom. The value obtained for the formation energy from the elements is -0.616 eV per atom.


4.
Material: SmPa2P3
Method: DFT, PBE
State: optimized geometry

Cell: 8.0174 5.6651 11.9917 Å, 90.00 90.00 90.00°
Positions (direct):
1 Sm 0.1240 0.2500 0.0798
2 Sm 0.3760 0.7500 0.5798
3 Sm 0.6240 0.2500 0.4202
4 Sm 0.8760 0.7500 0.9202
5 Pa 0.1235 0.2500 0.4162
6 Pa 0.1245 0.2500 0.7521
7 Pa 0.3755 0.7500 0.2521
8 Pa 0.3765 0.7500 0.9162
9 Pa 0.6235 0.2500 0.0838
10 Pa 0.6245 0.2500 0.7479
11 Pa 0.8755 0.7500 0.2479
12 Pa 0.8765 0.7500 0.5838
13 P 0.1210 0.7500 0.4141
14 P 0.1259 0.7500 0.7509
15 P 0.1321 0.7500 0.0865
16 P 0.3679 0.2500 0.5865
17 P 0.3741 0.2500 0.2509
18 P 0.3790 0.2500 0.9141
19 P 0.6210 0.7500 0.0859
20 P 0.6259 0.7500 0.7491
21 P 0.6321 0.7500 0.4135
22 P 0.8679 0.2500 0.9135
23 P 0.8741 0.2500 0.2491
24 P 0.8790 0.2500 0.5859

Properties
For the total energy, the calculation gives -8.054 eV per atom. The calculation puts the total magnetic moment at 0.00 μB per formula unit. The value obtained for the formation energy from the elements is -1.397 eV per atom.


5.
Material: SmPaP2
Method: DFT, PBE
State: optimized geometry

Cell: 3.8141 5.2649 9.9082 Å, 90.00 90.00 90.00°
Positions (direct):
1 Sm 0.2500 0.2500 0.1223
2 Sm 0.7500 0.7500 0.8777
3 Pa 0.2500 0.7500 0.3888
4 Pa 0.7500 0.2500 0.6112
5 P 0.2500 0.2500 0.4040
6 P 0.2500 0.2500 0.8328
7 P 0.7500 0.7500 0.1672
8 P 0.7500 0.7500 0.5960

Properties
For the total energy, the calculation gives -7.249 eV per atom. The calculation puts the total magnetic moment at 0.00 μB per formula unit. As for the energy above the lowest structure with this stoichiometry: 0.4300 eV per atom. The value obtained for the formation energy from the elements is -0.990 eV per atom.


6.
Material: SmPaP
Method: DFT, PBE
State: optimized geometry

Cell: 3.7909 3.7909 6.5223 Å, 90.00 90.00 120.00°
Positions (direct):
1 Sm 0.0000 0.0000 0.0000
2 Pa 0.6667 0.3333 0.4729
3 P 0.3333 0.6667 0.7293

Properties
For the total energy, the calculation gives -7.148 eV per atom. The calculation puts the total magnetic moment at 1.46 μB per formula unit. As for the energy above the lowest structure with this stoichiometry: 0.0100 eV per atom. The value obtained for the formation energy from the elements is -0.606 eV per atom.


7.
Material: SmPaP2
Method: DFT, PBE
State: optimized geometry

Cell: 4.1486 4.1486 24.3973 Å, 90.00 90.00 120.00°
Positions (direct):
1 Sm 0.0000 0.0000 0.0000
2 Sm 0.3333 0.6667 0.6667
3 Sm 0.6667 0.3333 0.3333
4 Pa 0.0000 0.0000 0.5000
5 Pa 0.3333 0.6667 0.1667
6 Pa 0.6667 0.3333 0.8333
7 P 0.0000 0.0000 0.1123
8 P 0.0000 0.0000 0.8877
9 P 0.3333 0.6667 0.5544
10 P 0.3333 0.6667 0.7789
11 P 0.6667 0.3333 0.2211
12 P 0.6667 0.3333 0.4456

Properties
For the total energy, the calculation gives -6.888 eV per atom. The calculation puts the total magnetic moment at 0.00 μB per formula unit. As for the energy above the lowest structure with this stoichiometry: 0.7907 eV per atom. The value obtained for the formation energy from the elements is -0.630 eV per atom.


8.
Material: Sm3PaP4
Method: DFT, PBE
State: optimized geometry

Cell: 5.7400 5.7400 11.4965 Å, 90.00 90.00 90.00°
Positions (direct):
1 Sm 0.0000 0.0000 0.0000
2 Sm 0.0000 0.5000 0.2500
3 Sm 0.0000 0.5000 0.7500
4 Sm 0.5000 0.0000 0.2500
5 Sm 0.5000 0.0000 0.7500
6 Sm 0.5000 0.5000 0.5000
7 Pa 0.0000 0.0000 0.5000
8 Pa 0.5000 0.5000 0.0000
9 P 0.0000 0.0000 0.2593
10 P 0.0000 0.0000 0.7407
11 P 0.0000 0.5000 0.0000
12 P 0.0000 0.5000 0.5000
13 P 0.5000 0.0000 0.0000
14 P 0.5000 0.0000 0.5000
15 P 0.5000 0.5000 0.2407
16 P 0.5000 0.5000 0.7593

Properties
For the total energy, the calculation gives -7.181 eV per atom. The calculation puts the total magnetic moment at 0.00 μB per formula unit. The value obtained for the formation energy from the elements is -1.520 eV per atom.


Which of these has the highest total magnetic moment?
number 6